No. 1
Material: SbTe2PtI
Method: DFT, PBE-GGA
State: relaxed

E_form (uncorrected)	1.61	eV/f.u.
V	31.01	A^3/atom
uncorrected energy	-3.28	eV/atom
polymorph energy (0 for the lowest one)	0	meV/atom

abc: 5.404 5.404 5.309
angles: 90.00 90.00 90.00
Fractional coordinates of all 5 atoms:
I 0.500 0.500 0.500
Pt 0.000 0.000 0.000
Te 0.000 0.500 0.000
Sb 0.000 0.000 0.500
Te 0.500 0.000 0.000

---

No. 2
Material: SbTe2PtI
Method: DFT, PBE-GGA
State: relaxed

E_form (uncorrected)	1.64	eV/f.u.
V	30.65	A^3/atom
uncorrected energy	-3.27	eV/atom
polymorph energy (0 for the lowest one)	6	meV/atom

abc: 5.327 5.327 5.401
angles: 90.00 90.00 90.00
Fractional coordinates of all 5 atoms:
Sb 0.500 0.500 0.500
Te 0.500 0.000 0.000
Te 0.000 0.500 0.000
Pt 0.000 0.000 0.000
I 0.000 0.000 0.500

---

No. 3
Material: VSbPtI2
Method: DFT, PBE-GGA
State: relaxed

E_form (uncorrected)	4.12	eV/f.u.
V	27.79	A^3/atom
uncorrected energy	-3.65	eV/atom
polymorph energy (0 for the lowest one)	0	meV/atom

abc: 5.083 5.083 5.379
angles: 90.00 90.00 90.00
Fractional coordinates of all 5 atoms:
Sb 0.000 0.000 0.500
I 0.500 0.000 0.000
Pt 0.500 0.500 0.500
I 0.000 0.500 0.000
V 0.000 0.000 0.000

---

No. 4
Material: VSb2PtI
Method: DFT, PBE-GGA
State: relaxed

E_form (uncorrected)	5.11	eV/f.u.
V	29.75	A^3/atom
uncorrected energy	-3.97	eV/atom
polymorph energy (0 for the lowest one)	283	meV/atom

abc: 5.203 5.203 5.495
angles: 90.00 90.00 90.00
Last column: magnetic moment on the atom in μB.
Fractional coordinates of all 5 atoms:
Sb 0.000 0.500 0.000  -0.01
V 0.500 0.500 0.500  -0.07
Pt 0.000 0.000 0.000  -0.03
Sb 0.500 0.000 0.000  -0.01
I 0.000 0.000 0.500  -0.01

---

| no. | mass density (g/cm³) |
| --- | --- |
| 1 | 7.49 |
| 2 | 7.57 |
| 3 | 7.43 |
| 4 | 6.88 |